a.
Computed, not measured: a relaxed structure of Ti2NbH at the PBE-GGA level of DFT.

Properties
density of states at the Fermi level	6.38	states/eV per cell
M_tot	0.00	μB/f.u.

Lattice parameters (Å, degrees): 7.5193 7.5193 7.5193 22.52 22.52 22.52
Sites, in units of the cell vectors:
1 Ti 0.2219 0.2219 0.2219
2 Ti 0.7781 0.7781 0.7781
3 Nb 0.0000 0.0000 0.0000
4 H 0.5000 0.5000 0.5000

b.
Computed, not measured: a relaxed structure of Ti2NbH at the PBE-GGA level of DFT.

Properties
density of states at the Fermi level	6.79	states/eV per cell
M_tot	0.00	μB/f.u.

Lattice parameters (Å, degrees): 5.4213 5.4213 5.4213 118.11 118.11 93.30
Sites, in units of the cell vectors:
1 Ti 0.3750 0.2241 0.3491
2 Ti 0.7759 0.1250 0.1509
3 Ti 0.8750 0.0259 0.6509
4 Ti 0.9741 0.6250 0.8491
5 Nb 0.2500 0.7500 0.5000
6 Nb 0.5000 0.5000 0.0000
7 H 0.0000 0.0000 0.0000
8 H 0.7500 0.2500 0.5000

Last place for stability: b

a.
Computed, not measured: a relaxed structure of Ti2NbH at the PBE-GGA level of DFT.

Properties
density of states at the Fermi level	2.93	states/eV per cell
M_tot	0.00	μB/f.u.

Lattice parameters (Å, degrees): 4.3696 4.3696 4.3696 60.00 60.00 60.00
Sites, in units of the cell vectors:
1 Ti 0.2500 0.2500 0.2500
2 Ti 0.7500 0.7500 0.7500
3 Nb 0.0000 0.0000 0.0000
4 H 0.5000 0.5000 0.5000

b.
Computed, not measured: a relaxed structure of Ti2NbH at the PBE-GGA level of DFT.

Properties
density of states at the Fermi level	5.23	states/eV per cell
M_tot	0.00	μB/f.u.

Lattice parameters (Å, degrees): 2.7462 2.7462 7.2074 90.00 90.00 90.00
Sites, in units of the cell vectors:
1 Ti 0.0000 0.0000 0.1796
2 Ti 0.0000 0.0000 0.8204
3 Nb 0.5000 0.5000 0.5000
4 H 0.5000 0.5000 0.0000

Last place for stability: a

a.
Computed, not measured: a relaxed structure of TiNb3H at the PBE-GGA level of DFT.

Properties
density of states at the Fermi level	7.30	states/eV per cell
M_tot	0.00	μB/f.u.

Lattice parameters (Å, degrees): 4.2288 4.2288 4.2288 90.00 90.00 90.00
Sites, in units of the cell vectors:
1 Ti 0.0000 0.0000 0.0000
2 Nb 0.0000 0.5000 0.5000
3 Nb 0.5000 0.0000 0.5000
4 Nb 0.5000 0.5000 0.0000
5 H 0.5000 0.5000 0.5000

b.
Computed, not measured: a relaxed structure of TiNb3H at the PBE-GGA level of DFT.

Properties
density of states at the Fermi level	8.99	states/eV per cell
M_tot	0.00	μB/f.u.

Lattice parameters (Å, degrees): 4.7116 4.7116 4.7116 90.00 90.00 90.00
Sites, in units of the cell vectors:
1 Ti 0.0000 0.0000 0.0000
2 Nb 0.0000 0.0000 0.5000
3 Nb 0.0000 0.5000 0.0000
4 Nb 0.5000 0.0000 0.0000
5 H 0.5000 0.5000 0.5000

Last place for stability: b

a.
Computed, not measured: a relaxed structure of TiNbH3 at the PBE-GGA level of DFT.

Properties
density of states at the Fermi level	1.57	states/eV per cell
M_tot	0.00	μB/f.u.

Lattice parameters (Å, degrees): 3.4692 3.4692 3.4692 90.00 90.00 90.00
Sites, in units of the cell vectors:
1 Ti 0.0000 0.0000 0.0000
2 Nb 0.5000 0.5000 0.5000
3 H 0.0000 0.0000 0.5000
4 H 0.0000 0.5000 0.0000
5 H 0.5000 0.0000 0.0000

b.
Computed, not measured: a relaxed structure of TiNbH3 at the PBE-GGA level of DFT.

Properties
density of states at the Fermi level	2.84	states/eV per cell
M_tot	0.00	μB/f.u.

Lattice parameters (Å, degrees): 4.8980 4.8980 4.8980 60.58 60.58 60.58
Sites, in units of the cell vectors:
1 Ti 0.1264 0.1264 0.1264
2 Ti 0.8736 0.8736 0.8736
3 Nb 0.3744 0.3744 0.3744
4 Nb 0.6256 0.6256 0.6256
5 H 0.0039 0.4933 0.7589
6 H 0.2411 0.5067 0.9961
7 H 0.4933 0.7589 0.0039
8 H 0.5067 0.9961 0.2411
9 H 0.7589 0.0039 0.4933
10 H 0.9961 0.2411 0.5067

c.
Computed, not measured: a relaxed structure of TiNbH3 at the PBE-GGA level of DFT.

Properties
density of states at the Fermi level	2.02	states/eV per cell
M_tot	0.02	μB/f.u.

Lattice parameters (Å, degrees): 3.5669 3.5669 3.5669 90.00 90.00 90.00
Sites, in units of the cell vectors:
1 Ti 0.0000 0.0000 0.0000
2 Nb 0.5000 0.5000 0.5000
3 H 0.0000 0.5000 0.5000
4 H 0.5000 0.0000 0.5000
5 H 0.5000 0.5000 0.0000

Last place for stability: c